TaCd2Br: relaxed, PBE-GGA.

Unit cell a=7.8464 b=7.8464 c=4.8928 alpha=71.71 beta=71.71 gamma=22.84
With the nearest neighbours (Å) after each atom.
Positions (direct):
Cd: 0.0282 0.0282 0.9715  4 Ta 2.97, 4 Cd 3.03-3.11
Cd: 0.1514 0.1514 0.3476  2 Ta 2.91, 4 Cd 3.03-3.11
Br: 0.8378 0.8378 0.6634  2 Ta 2.62
Ta: 0.4825 0.4825 0.5174  2 Br 2.62, 2 Cd 2.91

Properties
Total moment = 0.0 μB per cell
Energy above the most stable polymorph in this dataset = 155 meV per atom
Formation energy (no corrections) = 0.17 eV per atom
Electronic total energy = -3.672 eV/atom
Fermi-level density of states = 1.84 states/eV/cell
V = 27.69 Å³ per atom

Tb2SiAg: relaxed, PBE-GGA.

Unit cell a=3.6711 b=5.0157 c=5.0157 alpha=90.00 beta=90.00 gamma=90.00
With the nearest neighbours (Å) after each atom.
Positions (direct):
Si: 0.5000 0.0000 0.0000  8 Tb 3.11
Tb: 0.0000 0.0000 0.5000  4 Si 3.11, 4 Ag 3.11
Tb: 0.0000 0.5000 0.0000  4 Si 3.11, 4 Ag 3.11
Ag: 0.5000 0.5000 0.5000  8 Tb 3.11

Properties
Total moment = 0.1 μB per cell
Formation energy (no corrections) = -0.43 eV per atom
Electronic total energy = -4.817 eV/atom
Fermi-level density of states = 3.78 states/eV/cell
V = 23.09 Å³ per atom